1.
First-principles (PBE-GGA) data for an optimized crystal structure of Dy7Tm2Cd2, as listed in Alexandria via LeMat-Bulk.

As for the density of states at the Fermi level: 26.5 states/eV per cell. The formation energy is -0.044 eV per atom. The calculation puts the volume at 29.76 Å³ per atom.

The space group is C2/m (No. 12) and the conventional cell measures 8.548, 9.671 and 8.414 Å, with angles of 90.00, 109.76 and 90.00 degrees. The asymmetric unit holds Dy at (0.000, 0.000, 0.000), Dy at (0.139, 0.000, 0.417), Dy at (0.196, 0.323, 0.174), Tm at (0.000, 0.318, 0.500) and Cd at (0.120, 0.500, 0.823).

2.
First-principles (PBE-GGA) data for an optimized crystal structure of RuRhS2, as listed in Alexandria via LeMat-Bulk.

As for the density of states at the Fermi level: 16.3 states/eV per cell. For the energy above the most stable polymorph in this dataset, the calculation gives 391 meV/atom. The raw formation energy is 0.19 eV per atom. The calculation puts the volume at 13.73 Å³ per atom.

The space group is Fm-3m (No. 225) and the conventional cell measures 6.034, 6.034 and 6.034 Å, with angles of 90.00, 90.00 and 90.00 degrees. The asymmetric unit holds Ru at (0.000, 0.000, 0.000), Rh at (0.000, 0.000, 0.500) and S at (0.250, 0.250, 0.250).

3.
First-principles (PBE-GGA) data for an optimized crystal structure of CsMg3Ga, as listed in Alexandria via LeMat-Bulk.

As for the density of states at the Fermi level: 6.7 states/eV per cell. For the energy above the most stable polymorph in this dataset, the calculation gives 1002 meV/atom. The formation energy is 1.246 eV per atom. The calculation puts the volume at 62.70 Å³ per atom.

The space group is Pm-3m (No. 221) and the conventional cell measures 6.793, 6.793 and 6.793 Å, with angles of 90.00, 90.00 and 90.00 degrees. The asymmetric unit holds Cs at (0.000, 0.000, 0.000), Mg at (0.000, 0.000, 0.500) and Ga at (0.500, 0.500, 0.500).

4.
First-principles (PBE-GGA) data for an optimized crystal structure of DyHoEr4Sc2, as listed in Alexandria via LeMat-Bulk.

As for the density of states at the Fermi level: 25.0 states/eV per cell. The formation energy is 0.028 eV per atom. The calculation puts the volume at 29.16 Å³ per atom.

The space group is P-1 (No. 2) and the conventional cell measures 6.950, 6.951 and 11.148 Å, with angles of 89.99, 89.99 and 60.03 degrees. The asymmetric unit holds Dy at (0.000, 0.000, 0.000), Dy at (0.000, 0.500, 0.000), Ho at (0.000, 0.000, 0.500), Ho at (0.500, 0.000, 0.000), Er at (0.168, 0.168, 0.255), Er at (0.169, 0.665, 0.253), Er at (0.333, 0.333, 0.744), Er at (0.335, 0.831, 0.747), Sc at (0.000, 0.500, 0.500), Sc at (0.500, 0.000, 0.500), Sc at (0.500, 0.500, 0.000) and Sc at (0.500, 0.500, 0.500).

5.
First-principles (PBE-GGA) data for an optimized crystal structure of In3RePt, as listed in Alexandria via LeMat-Bulk.

As for the density of states at the Fermi level: 2.6 states/eV per cell. For the energy above the most stable polymorph in this dataset, the calculation gives 0 meV/atom. The formation energy is 0.941 eV per atom. The calculation puts the volume at 26.91 Å³ per atom.

The space group is Pm-3m (No. 221) and the conventional cell measures 5.125, 5.125 and 5.125 Å, with angles of 90.00, 90.00 and 90.00 degrees. The asymmetric unit holds In at (0.000, 0.000, 0.500), Re at (0.500, 0.500, 0.500) and Pt at (0.000, 0.000, 0.000).

6.
First-principles (PBE-GGA) data for an optimized crystal structure of LiAlHgBi2, as listed in Alexandria via LeMat-Bulk.

As for the density of states at the Fermi level: 4.5 states/eV per cell. The formation energy is 0.489 eV per atom. The calculation puts the volume at 34.50 Å³ per atom.

The space group is P4/mmm (No. 123) and the conventional cell measures 5.909, 5.909 and 4.940 Å, with angles of 90.00, 90.00 and 90.00 degrees. The asymmetric unit holds Li at (0.000, 0.000, 0.000), Al at (0.500, 0.500, 0.000), Hg at (0.500, 0.500, 0.500) and Bi at (0.000, 0.500, 0.500).

7.
First-principles (PBE-GGA) data for an optimized crystal structure of NaY2Lu, as listed in Alexandria via LeMat-Bulk.

As for the density of states at the Fermi level: 4.5 states/eV per cell. For the energy above the most stable polymorph in this dataset, the calculation gives 0 meV/atom. The formation energy is 0.130 eV per atom. The calculation puts the volume at 32.48 Å³ per atom.

The space group is P4/mmm (No. 123) and the conventional cell measures 3.516, 3.516 and 10.508 Å, with angles of 90.00, 90.00 and 90.00 degrees. The asymmetric unit holds Na at (0.000, 0.000, 0.000), Y at (0.500, 0.500, 0.272) and Lu at (0.000, 0.000, 0.500).

8.
First-principles (PBE-GGA) data for an optimized crystal structure of KNaICl, as listed in Alexandria via LeMat-Bulk.

As for the density of states at the Fermi level: 0.0 states/eV per cell. For the energy above the most stable polymorph in this dataset, the calculation gives 2 meV/atom. The raw formation energy is -1.57 eV per atom. The calculation puts the volume at 38.04 Å³ per atom.

The space group is R-3m (No. 166, hexagonal axes) and the conventional cell measures 5.4377, 5.4377 and 35.6499 Å, with angles of 90.00, 90.00 and 120.00 degrees. The asymmetric unit holds K at (0.0000, 0.0000, 0.1219), Na at (0.0000, 0.0000, 0.2881), I at (0.0000, 0.0000, 0.3792) and Cl at (0.0000, 0.0000, 0.2097).

9.
First-principles (PBE-GGA) data for an optimized crystal structure of CaNd2Y3Bi6, as listed in Alexandria via LeMat-Bulk.

As for the density of states at the Fermi level: 8.0 states/eV per cell. The formation energy is -0.874 eV per atom. The calculation puts the volume at 33.34 Å³ per atom.

The space group is C2/m (No. 12) and the conventional cell measures 19.866, 4.546 and 9.113 Å, with angles of 90.00, 103.52 and 90.00 degrees. The asymmetric unit holds Ca at (0.000, 0.000, 0.000), Nd at (0.165, 0.500, 0.331), Y at (0.000, 0.000, 0.500), Y at (0.167, 0.500, 0.834), Bi at (0.002, 0.500, 0.745), Bi at (0.165, 0.000, 0.587) and Bi at (0.168, 0.000, 0.078).

10.
First-principles (PBE-GGA) data for an optimized crystal structure of NaLiSn5, as listed in Alexandria via LeMat-Bulk.

As for the density of states at the Fermi level: 9.2 states/eV per cell. The formation energy is -0.077 eV per atom. The calculation puts the volume at 27.28 Å³ per atom.

The space group is C2/c (No. 15) and the conventional cell measures 9.047, 13.514 and 6.801 Å, with angles of 90.00, 113.25 and 90.00 degrees. The asymmetric unit holds Na at (0.000, 0.000, 0.000), Li at (0.000, 0.456, 0.250), Sn at (0.000, 0.229, 0.250), Sn at (0.150, 0.364, 0.668) and Sn at (0.227, 0.158, 0.835).

11.
First-principles (PBE-GGA) data for an optimized crystal structure of FeH2Ir2, as listed in Alexandria via LeMat-Bulk.

As for the density of states at the Fermi level: 5.9 states/eV per cell. For the energy above the most stable polymorph in this dataset, the calculation gives 55 meV/atom. The calculation puts the volume at 9.85 Å³ per atom.

The space group is P4/mbm (No. 127) and the conventional cell measures 5.817, 5.817 and 2.910 Å, with angles of 90.00, 90.00 and 90.00 degrees. The asymmetric unit holds Fe at (0.000, 0.000, 0.000), H at (0.215, 0.285, 0.000) and Ir at (0.162, 0.662, 0.500).

12.
First-principles (PBE-GGA) data for an optimized crystal structure of Nd2EuTl, as listed in Alexandria via LeMat-Bulk.

As for the density of states at the Fermi level: 5.0 states/eV per cell. For the energy above the most stable polymorph in this dataset, the calculation gives 45 meV/atom. The formation energy is -0.131 eV per atom. The calculation puts the volume at 33.97 Å³ per atom.

The space group is P4/mmm (No. 123) and the conventional cell measures 3.810, 3.810 and 9.359 Å, with angles of 90.00, 90.00 and 90.00 degrees. The asymmetric unit holds Nd at (0.000, 0.000, 0.217), Eu at (0.500, 0.500, 0.500) and Tl at (0.500, 0.500, 0.000).

Which of these has the lowest volume? FeH2Ir2

Which of these has the highest volume? CsMg3Ga